Ce2ZnNi12Ge3 | PBE | relaxed

Values from the calculation:
Raw total energy in eV per cell: -297.9
Energy of formation in meV/atom: -162

Unit cell a=8.4265 b=8.4265 c=12.2189 alpha=90.00 beta=90.00 gamma=120.00
Closest atoms and distances in Å follow each position.
Space group R-3m (No. 166, hexagonal axes)
Unique sites:
Ce 0.0000 0.0000 0.1506 [6 per cell]  6 Ni 2.47-2.71
Zn 0.0000 0.0000 0.5000 [3 per cell]  6 Ni 2.43
Ni 0.0044 0.5022 0.1953 [18 per cell]  1 Ge 2.39, 5 Ni 2.42-2.65, 1 Zn 2.43, 1 Ce 2.47
Ni 0.0053 0.5027 0.3929 [18 per cell]  4 Ni 2.42-2.65, 2 Ge 2.52
Ge 0.0000 0.5000 0.0000 [9 per cell]  6 Ni 2.39-2.52

=====

Tl2GeAu3 | PBE | relaxed

Values from the calculation:
Raw total energy in eV per cell: -76.6
Energy of formation in meV/atom: 7

Unit cell a=12.1225 b=8.7858 c=5.5519 alpha=90.00 beta=90.11 gamma=90.00
Closest atoms and distances in Å follow each position.
Space group C2/c (No. 15)
Unique sites:
Tl 0.1580 0.1835 0.2498 [8 per cell]  5 Au 2.92-3.14
Ge 0.0000 0.3526 0.7500 [4 per cell]  5 Au 2.51-2.65
Au 0.0000 0.0675 0.7500 [4 per cell]  1 Ge 2.51
Au 0.1520 0.5002 0.0003 [8 per cell]  2 Ge 2.65, 2 Au 2.78

=====

Pr2YTm8 | PBE | relaxed

Values from the calculation:
Raw total energy in eV per cell: -99.7
Energy of formation in meV/atom: 177

Unit cell a=16.4647 b=6.5683 c=6.6247 alpha=90.00 beta=100.11 gamma=90.00
Closest atoms and distances in Å follow each position.
Space group C2/m (No. 12)
Unique sites:
Pr 0.2452 0.0000 0.3118 [4 per cell]  9 Tm 3.27-3.53
Y 0.0000 0.0000 0.0000 [2 per cell]  4 Tm 3.27
Tm 0.0860 0.2606 0.4018 [8 per cell]  4 Tm 3.14-3.43, 1 Y 3.27, 2 Pr 3.27-3.46
Tm 0.0882 0.5000 0.9054 [4 per cell]  1 Pr 3.31, 8 Tm 3.36-3.68, 2 Y 3.69
Tm 0.1996 0.0000 0.8035 [4 per cell]  4 Pr 3.32-3.53, 3 Tm 3.43-3.68

=====

CuGe2RuW | PBE | relaxed

Values from the calculation:
Raw total energy in eV per cell: -28.8
Energy of formation in meV/atom: 1350

Unit cell a=4.6165 b=4.6165 c=4.7232 alpha=90.00 beta=90.00 gamma=90.00
Closest atoms and distances in Å follow each position.
Space group P4/mmm (No. 123)
Unique sites:
Cu 0.0000 0.0000 0.0000 [1 per cell]  2 Ru 2.36
Ge 0.0000 0.5000 0.5000 [2 per cell]  2 Ru 2.31
Ru 0.0000 0.0000 0.5000 [1 per cell]  4 Ge 2.31, 2 Cu 2.36
W 0.5000 0.5000 0.0000 [1 per cell]  4 Cu 3.26, 8 Ge 3.30